# 1
LaIn2Au | GGA-PBEsol | optimized geometry

Computed properties:
- space-group type = No. 71
- calculated density (Mg/m³) = 9.55
- ΔE_f (eV per atom) = -0.415
- DFT total energy (eV/cell) = -16.89

POSCAR file:
```
LaIn2Au
1.0
-0.6336 3.1523 1.4117
-3.1318 1.1944 -4.0728
-2.2787 -4.1793 3.9421
In La Au
2 1 1
Direct
0.2806 0.2806 0.5611 In
0.7194 0.7194 0.4389 In
0.5000 0.0000 0.0000 La
0.0000 0.5000 0.0000 Au
```

---

# 2
Ta2Co2Ir | GGA-PBEsol | optimized geometry

Computed properties:
- space-group type = No. 127
- calculated density (Mg/m³) = 16.36
- ΔE_f (eV per atom) = -0.388
- DFT total energy (eV/cell) = -104.68

POSCAR file:
```
Ta2Co2Ir
1.0
-1.1739 1.8161 -2.0897
-5.8066 0.1670 3.4070
2.1737 5.3649 3.4417
Co Ir Ta
4 2 4
Direct
0.0000 0.6254 0.1254 Co
0.0000 0.1254 0.3746 Co
0.0000 0.8746 0.6254 Co
0.0000 0.3746 0.8746 Co
0.0000 0.5000 0.5000 Ir
0.0000 0.0000 0.0000 Ir
0.5000 0.8238 0.3238 Ta
0.5000 0.1762 0.6762 Ta
0.5000 0.3238 0.1762 Ta
0.5000 0.6762 0.8238 Ta
```

---

# 3
Cu2TeCl | GGA-PBEsol | optimized geometry

Computed properties:
- raw formation energy (eV/f.u.) = 0.7
- space-group type = No. 47
- calculated density (Mg/m³) = 6.00
- DFT total energy (eV/cell) = -13.52

POSCAR file:
```
Cu2TeCl
1.0
3.2361 0.0000 0.0000
0.0000 3.8921 0.0000
0.0000 0.0000 6.3709
Cu Cl Te
2 1 1
Direct
0.0000 0.5000 0.5000 Cu
0.0000 0.0000 0.0000 Cu
0.5000 0.0000 0.5000 Cl
0.5000 0.5000 0.0000 Te
```

---

# 4
AlNiSe2 | GGA-PBEsol | optimized geometry

Computed properties:
- raw formation energy (eV/f.u.) = -1.5
- space-group type = No. 166
- calculated density (Mg/m³) = 6.11
- DFT total energy (eV/cell) = -19.46

POSCAR file:
```
AlNiSe2
1.0
3.6166 0.0000 0.0000
1.8083 3.1321 0.0000
1.8083 1.0440 5.8425
Se Ni Al
2 1 1
Direct
0.7554 0.7554 0.7338 Se
0.2446 0.2446 0.2662 Se
0.5000 0.5000 0.5000 Ni
0.0000 0.0000 0.0000 Al
```

---

Copy entry 4 word for word.
AlNiSe2 | GGA-PBEsol | optimized geometry

Computed properties:
- raw formation energy (eV/f.u.) = -1.5
- space-group type = No. 166
- calculated density (Mg/m³) = 6.11
- DFT total energy (eV/cell) = -19.46

POSCAR file:
```
AlNiSe2
1.0
3.6166 0.0000 0.0000
1.8083 3.1321 0.0000
1.8083 1.0440 5.8425
Se Ni Al
2 1 1
Direct
0.7554 0.7554 0.7338 Se
0.2446 0.2446 0.2662 Se
0.5000 0.5000 0.5000 Ni
0.0000 0.0000 0.0000 Al
```